(1)
# MgTl15In4, relaxed, DFT GGA-PBE
data_MgTl15In4
_chemical_formula_sum 'Mg1 Tl15 In4'
_cell_length_a 5.009
_cell_length_b 5.009
_cell_length_c 23.498
_cell_angle_alpha 90.00
_cell_angle_beta 90.00
_cell_angle_gamma 90.00
_symmetry_space_group_name_H-M 'P 4/m m m'
_symmetry_Int_Tables_number 123
_symmetry_space_group_name_Hall '-P 4 2'
loop_
_atom_site_label
_atom_site_fract_x
_atom_site_fract_y
_atom_site_fract_z
_atom_site_occupancy
Mg1 0.000 0.000 0.000 1
Tl1 0.000 0.500 0.096 1
Tl2 0.000 0.500 0.298 1
Tl3 0.000 0.500 0.500 1
Tl4 0.500 0.500 0.000 1
Tl5 0.500 0.500 0.196 1
Tl6 0.500 0.500 0.399 1
In1 0.000 0.000 0.196 1
In2 0.000 0.000 0.399 1
# ΔH_f (0 K) in eV per formula unit: 0.8


(2)
# Pr4TmSc3, relaxed, DFT GGA-PBE
data_Pr4TmSc3
_chemical_formula_sum 'Pr8 Tm2 Sc6'
_cell_length_a 27.491
_cell_length_b 3.485
_cell_length_c 5.685
_cell_angle_alpha 90.00
_cell_angle_beta 93.64
_cell_angle_gamma 90.00
_symmetry_space_group_name_H-M 'C 1 2/m 1'
_symmetry_Int_Tables_number 12
loop_
_symmetry_equiv_pos_as_xyz
'x,y,z'
'-x,-y,-z'
'-x,y,-z'
'x,-y,z'
'x+1/2,y+1/2,z'
'-x+1/2,-y+1/2,-z'
'-x+1/2,y+1/2,-z'
'x+1/2,-y+1/2,z'
loop_
_atom_site_label
_atom_site_fract_x
_atom_site_fract_y
_atom_site_fract_z
_atom_site_occupancy
Pr1 0.099 0.000 0.030 1
Pr2 0.190 0.000 0.560 1
Tm1 0.000 0.000 0.500 1
Sc1 0.000 0.500 0.000 1
Sc2 0.206 0.500 0.068 1
# ΔH_f (0 K) in eV per formula unit: 2.4


(3)
# LaNiSe2, relaxed, DFT GGA-PBE
data_LaNiSe2
_chemical_formula_sum 'La1 Ni1 Se2'
_cell_length_a 4.141
_cell_length_b 4.141
_cell_length_c 5.877
_cell_angle_alpha 90.00
_cell_angle_beta 90.00
_cell_angle_gamma 90.00
_symmetry_space_group_name_H-M 'P 4 m m'
_symmetry_Int_Tables_number 99
loop_
_symmetry_equiv_pos_as_xyz
'x,y,z'
'-y,x,z'
'-x,-y,z'
'y,-x,z'
'-x,y,z'
'y,x,z'
'x,-y,z'
'-y,-x,z'
loop_
_atom_site_label
_atom_site_fract_x
_atom_site_fract_y
_atom_site_fract_z
_atom_site_occupancy
La1 0.000 0.000 0.000 1
Ni1 0.500 0.500 0.379 1
Se1 0.000 0.000 0.481 1
Se2 0.500 0.500 0.967 1
# Formation energy from raw total energies in eV per atom: -0.9082


| no. | magnetic moment (μB/atom) | final energy (eV/atom) |
| --- | --- | --- |
| 1 | 0.000 | -2.362 |
| 2 | 0.000 | -5.028 |
| 3 | 0.262 | -5.328 |